Computed, not measured: Mn2OsW after structural relaxation at the PBE-GGA level of DFT.

Cell lengths 9.570, 9.570, 9.570 Å; angles 158.07, 158.07, 31.20 degrees
Sites, in units of the cell vectors:
Mn 0.120 0.625 0.995
Mn 0.375 0.370 0.495
Mn 0.630 0.125 0.005
Mn 0.875 0.880 0.505
Os 0.000 0.000 0.000
Os 0.750 0.250 0.500
W 0.250 0.750 0.500
W 0.500 0.500 0.000

Output
The formation energy from the elements is 0.754 eV per atom. The density of states at the Fermi level is 7.9 states/eV/cell.